First-principles (PBE) data for a relaxed structure of Sr3Al2Cu4, as listed in Alexandria via LeMat-Bulk.

Structure (POSCAR):
```
Sr3Al2Cu4
1.0
5.6295 -2.1881 0.0000
5.6295 2.1881 0.0000
-1.8773 0.0000 8.4369
Sr Al Cu
3 2 4
Cartesian
0.0000 0.0000 0.0000
3.0765 0.0000 5.2089
6.3052 0.0000 3.2280
3.2323 0.0000 1.7969
6.1495 0.0000 6.6400
-0.2218 0.0000 5.4370
1.1090 0.0000 7.7490
8.2728 0.0000 0.6879
9.6035 0.0000 2.9999
```

Results
formation enthalpy at 0 K = -191 meV per atom
E = -3.404 eV per atom


First-principles (PBE) data for a relaxed structure of ScMnW4, as listed in Alexandria via LeMat-Bulk.

Structure (POSCAR):
```
ScMnW4
1.0
0.0000 3.7619 3.7619
3.7619 0.0000 3.7619
3.7619 3.7619 0.0000
Sc Mn W
1 1 4
Cartesian
0.0000 0.0000 0.0000
5.6428 5.6428 5.6428
2.8176 2.8176 2.8176
4.7062 4.7062 2.8176
4.7062 2.8176 4.7062
2.8176 4.7062 4.7062
```

Results
formation enthalpy at 0 K = 324 meV per atom
E = -10.895 eV per atom


First-principles (PBE) data for a relaxed structure of LiAcCu2O4, as listed in Alexandria via LeMat-Bulk.

Structure (POSCAR):
```
LiAcCu2O4
1.0
5.4552 0.0000 0.0000
0.0000 5.4552 0.0000
0.0000 0.0000 6.7693
Li Ac Cu O
2 2 4 8
Cartesian
0.0000 0.0000 0.0000
2.7276 2.7276 3.3846
0.0000 0.0000 3.3846
2.7276 2.7276 0.0000
0.0000 2.7276 1.6923
0.0000 2.7276 5.0769
2.7276 0.0000 1.6923
2.7276 0.0000 5.0769
1.1460 1.1460 5.4241
1.1460 4.3092 1.3451
1.5816 1.5816 2.0395
1.5816 3.8736 4.7297
3.8736 1.5816 4.7297
3.8736 3.8736 2.0395
4.3092 1.1460 1.3451
4.3092 4.3092 5.4241
```

Results
formation energy (no corrections) = -13.17 eV/f.u.
E = -5.902 eV per atom


First-principles (PBE) data for a relaxed structure of Ba8As3NCl4, as listed in Alexandria via LeMat-Bulk.

Structure (POSCAR):
```
Ba8As3NCl4
1.0
7.9942 -4.6190 0.0000
7.9942 4.6190 0.0000
-5.3501 0.0000 7.7266
Ba As N Cl
8 3 1 4
Cartesian
4.1031 2.5155 5.4859
-0.1588 0.0000 5.5419
6.5351 2.5155 2.2407
2.6562 0.0000 2.0892
7.9820 0.0000 5.6374
4.1031 -2.5155 5.4859
10.7970 0.0000 2.1847
6.5351 -2.5155 2.2407
1.3220 2.3095 3.8633
1.3220 -2.3095 3.8633
5.3191 0.0000 3.8633
-2.6751 0.0000 3.8633
0.0000 0.0000 0.0000
3.9971 2.3095 0.0000
3.9971 -2.3095 0.0000
7.9942 0.0000 0.0000
```

Results
formation energy (no corrections) = -24.90 eV/f.u.
E = -4.372 eV per atom


First-principles (PBE) data for a relaxed structure of La2ErCd2, as listed in Alexandria via LeMat-Bulk.

Structure (POSCAR):
```
La2ErCd2
1.0
-4.0678 6.2933 3.0894
4.0678 -6.2933 3.0894
4.0678 6.2933 -3.0894
La Er Cd
4 2 4
Cartesian
1.2946 2.5953 0.0000
5.3624 3.6980 0.0000
-1.2946 2.5953 3.0894
2.7731 3.6980 3.0894
4.0678 0.0000 1.5447
0.0000 6.2933 1.5447
6.7607 0.7146 0.0000
2.6929 5.5786 0.0000
1.3748 0.7146 3.0894
-2.6929 5.5786 3.0894
```

Results
formation enthalpy at 0 K = -55 meV per atom
energy above the most stable polymorph in this dataset = 0.182 eV per atom
E = -3.304 eV per atom


First-principles (PBE) data for a relaxed structure of Bi2RhO2, as listed in Alexandria via LeMat-Bulk.

Structure (POSCAR):
```
Bi2RhO2
1.0
7.2264 0.0000 0.0000
0.0000 7.2264 0.0000
0.0000 0.0000 3.2617
Bi Rh O
4 2 4
Cartesian
1.4564 2.1568 0.0000
2.1568 5.7700 0.0000
5.0695 1.4564 0.0000
5.7700 5.0695 0.0000
0.0000 0.0000 1.6309
3.6132 3.6132 1.6309
1.0358 4.6490 1.6309
2.5774 1.0358 1.6309
4.6490 6.1906 1.6309
6.1906 2.5774 1.6309
```

Results
formation energy (no corrections) = -1.42 eV/f.u.
energy above the most stable polymorph in this dataset = 0.203 eV per atom
E = -5.290 eV per atom


First-principles (PBE) data for a relaxed structure of SmUSe4, as listed in Alexandria via LeMat-Bulk.

Structure (POSCAR):
```
SmUSe4
1.0
9.3467 0.0000 0.0000
0.0000 9.4997 0.0000
0.0000 0.0000 4.2886
Sm U Se
2 2 8
Cartesian
0.0000 0.0000 0.0000
4.6734 4.7499 0.0000
0.0000 4.7499 2.1443
4.6734 0.0000 2.1443
0.0000 2.9717 0.0000
0.0000 6.5281 0.0000
1.9426 0.0000 2.1443
2.7308 4.7499 2.1443
4.6734 1.7782 0.0000
4.6734 7.7215 0.0000
6.6160 4.7499 2.1443
7.4041 0.0000 2.1443
```

Results
formation energy (no corrections) = -7.65 eV/f.u.
energy above the most stable polymorph in this dataset = 0.091 eV per atom
E = -6.266 eV per atom


First-principles (PBE) data for a relaxed structure of Ca2ZnPb, as listed in Alexandria via LeMat-Bulk.

Structure (POSCAR):
```
Ca2ZnPb
1.0
5.2403 0.0000 0.0000
0.0000 5.2553 0.0000
0.0000 0.0000 8.7632
Ca Zn Pb
4 2 2
Cartesian
0.0000 0.0000 0.0000
0.0000 2.6276 3.0564
2.6202 0.0000 3.0564
2.6202 2.6276 0.0000
0.0000 0.0000 4.8307
2.6202 2.6276 4.8307
0.0000 2.6276 6.5205
2.6202 0.0000 6.5205
```

Results
formation enthalpy at 0 K = -186 meV per atom
E = -2.433 eV per atom


First-principles (PBE) data for a relaxed structure of MnOsPt2, as listed in Alexandria via LeMat-Bulk.

Structure (POSCAR):
```
MnOsPt2
1.0
3.2770 0.0000 0.0000
0.0000 3.2770 0.0000
0.0000 0.0000 5.5254
Mn Os Pt
1 1 2
Cartesian
0.0000 0.0000 0.0000
1.6385 1.6385 1.3433
0.0000 0.0000 2.7105
1.6385 1.6385 4.2028
```

Results
formation enthalpy at 0 K = 96 meV per atom
E = -8.024 eV per atom


First-principles (PBE) data for a relaxed structure of CuMo2Pt, as listed in Alexandria via LeMat-Bulk.

Structure (POSCAR):
```
CuMo2Pt
1.0
2.7231 0.0000 0.0000
0.0000 2.7231 0.0000
0.0000 0.0000 8.0388
Cu Mo Pt
1 2 1
Cartesian
0.0000 0.0000 0.0000
0.0000 0.0000 4.1654
1.3616 1.3616 1.9001
1.3616 1.3616 6.1206
```

Results
formation enthalpy at 0 K = -32 meV per atom
energy above the most stable polymorph in this dataset = 0.021 eV per atom
E = -7.982 eV per atom


First-principles (PBE) data for a relaxed structure of Cs3RuCl6, as listed in Alexandria via LeMat-Bulk.

Structure (POSCAR):
```
Cs3RuCl6
1.0
6.7190 -3.8522 0.0000
6.7190 3.8522 0.0000
-4.4980 0.0000 6.8591
Cs Ru Cl
3 1 6
Cartesian
0.0000 0.0000 0.0000
-0.1036 0.0000 5.0151
9.0436 0.0000 1.8440
4.4700 0.0000 3.4295
3.1486 1.6834 4.4958
2.9950 0.0000 1.5394
5.7914 1.6834 2.3633
3.1486 -1.6834 4.4958
5.9450 0.0000 5.3196
5.7914 -1.6834 2.3633
```

Results
formation energy (no corrections) = -13.99 eV/f.u.
E = -3.690 eV per atom


First-principles (PBE) data for a relaxed structure of Gd2AgRu, as listed in Alexandria via LeMat-Bulk.

Structure (POSCAR):
```
Gd2AgRu
1.0
3.9578 0.0000 0.0000
-1.9789 3.4276 0.0000
0.0000 0.0000 22.7489
Gd Ag Ru
6 3 3
Cartesian
0.0000 0.0000 5.3532
0.0000 0.0000 17.3957
0.0000 2.2850 9.8127
0.0000 2.2850 20.5191
1.9789 1.1425 2.2298
1.9789 1.1425 12.9362
0.0000 0.0000 0.0000
0.0000 2.2850 15.1659
1.9789 1.1425 7.5830
0.0000 0.0000 11.3744
0.0000 2.2850 3.7915
1.9789 1.1425 18.9574
```

Results
formation enthalpy at 0 K = -130 meV per atom
E = -10.202 eV per atom


Question: Among the records above, which one has the highest E?
Answer: Ca2ZnPb


Question: What is the formula in the third record?
Answer: LiAcCu2O4


Question: What is the formula in the twelfth record?
Answer: Gd2AgRu